## Mg2TaAs (GGA-PBEsol)

Data for Mg2TaAs after structural relaxation.

```
Mg2TaAs
1.0
-1.984 -2.635 -0.918
2.793 -1.030 -3.081
2.378 -2.877 3.118
As Mg Ta
1 2 1
Direct
0.000 0.500 0.500 As
0.000 0.000 0.000 Mg
0.500 0.500 0.000 Mg
0.500 0.000 0.500 Ta
```

Summary:
Its formation energy is 16 kJ per mole of atoms. Its crystal system is orthorhombic. The symmetry is Pmmm.

## Ga2SnPb (GGA-PBEsol)

Data for Ga2SnPb after structural relaxation.

```
Ga2SnPb
1.0
5.072 0.000 0.000
2.536 4.393 0.000
2.536 1.464 4.141
Pb Sn Ga
1 1 2
Direct
0.500 0.500 0.500 Pb
0.000 0.000 0.000 Sn
0.250 0.250 0.250 Ga
0.750 0.750 0.750 Ga
```

Summary:
Its formation energy is 7 kJ per mole of atoms. Its crystal system is cubic. The symmetry is Fm-3m.

## NaInW3 (GGA-PBEsol)

Data for NaInW3 after structural relaxation.

```
NaInW3
1.0
-2.930 -3.340 0.803
2.210 -2.640 -2.921
2.630 -1.503 3.348
Na W In
1 3 1
Direct
0.000 0.000 0.000 Na
0.000 0.500 0.000 W
0.000 0.000 0.500 W
0.500 0.000 0.000 W
0.500 0.500 0.500 In
```

Summary:
Its formation energy is 282 kJ per mole of atoms. Its crystal system is cubic. The symmetry is Pm-3m.

## KTe2O (GGA-PBEsol)

Data for KTe2O after structural relaxation.

```
KTe2O
1.0
3.522 0.000 0.000
1.761 3.050 0.000
1.761 1.017 9.707
K Te O
1 2 1
Direct
0.500 0.500 0.500 K
0.930 0.930 0.210 Te
0.070 0.070 0.790 Te
0.000 0.000 0.000 O
```

Summary:
Its formation energy without anion corrections is -0.02 eV per atom. Its crystal system is trigonal. The symmetry is R-3m.

## Na2Zn2In (GGA-PBEsol)

Data for Na2Zn2In after structural relaxation.

```
Na2Zn2In
1.0
4.706 0.000 0.000
0.000 6.961 0.000
0.000 0.000 6.961
Na Zn In
4 4 2
Direct
0.500 0.176 0.676 Na
0.500 0.676 0.824 Na
0.500 0.824 0.324 Na
0.500 0.324 0.176 Na
0.000 0.374 0.874 Zn
0.000 0.874 0.626 Zn
0.000 0.626 0.126 Zn
0.000 0.126 0.374 Zn
0.000 0.000 0.000 In
0.000 0.500 0.500 In
```

Summary:
Its formation energy is 3 kJ per mole of atoms. Its crystal system is tetragonal. For the energy relative to the lowest polymorph listed for this composition, the calculation gives 0 meV/atom. The symmetry is P4/mbm.

## LiGaCl2 (GGA-PBEsol)

Data for LiGaCl2 after structural relaxation.

```
LiGaCl2
1.0
-2.987 1.177 -6.058
-2.081 -4.121 4.105
0.262 6.748 1.182
Li Ga Cl
2 2 4
Direct
0.750 0.500 0.250 Li
0.500 0.000 0.500 Li
0.250 0.500 0.750 Ga
0.000 0.000 0.000 Ga
0.436 0.250 0.375 Cl
0.814 0.250 0.875 Cl
0.125 0.750 0.564 Cl
0.625 0.750 0.186 Cl
```

Summary:
Its formation energy without anion corrections is -1.15 eV per atom. Its crystal system is tetragonal. The symmetry is I-42d.